RbAl3P | PBE | relaxed

Computed properties:
total magnetic moment: 0.00 μB/atom
total energy: -1.54 eV/atom
DFT formation energy: 45.61 kcal/mol of atoms
density: 1.66 g/cm³
space group: Pm-3m, No. 221

Cell: 5.822 5.822 5.822 Å, 90.00 90.00 90.00°
Fractional coordinates of all 5 atoms:
Rb 0.000 0.000 0.000
Al 0.000 0.000 0.500
Al 0.000 0.500 0.000
Al 0.500 0.000 0.000
P 0.500 0.500 0.500

***

CaPPtS2 | PBE | relaxed

Computed properties:
total magnetic moment: 0.00 μB/atom
total energy: -4.68 eV/atom
formation energy (no corrections): -340 meV per atom
density: 4.84 g/cm³
space group: P4/mmm, No. 123

Cell: 5.094 5.094 4.364 Å, 90.00 90.00 90.00°
Fractional coordinates of all 5 atoms:
Ca 0.000 0.000 0.000
P 0.500 0.500 0.000
Pt 0.500 0.500 0.500
S 0.000 0.500 0.500
S 0.500 0.000 0.500

***

Ho2Tm3Sc2 | PBE | relaxed

Computed properties:
total magnetic moment: 0.00 μB/atom
total energy: -4.82 eV/atom
DFT formation energy: 4.96 kcal/mol of atoms
density: 7.51 g/cm³
space group: P2_1/c, No. 14

Cell: 6.261 10.340 6.330 Å, 90.00 92.07 90.00°
Fractional coordinates of all 14 atoms:
Ho 0.139 0.243 0.249
Ho 0.139 0.257 0.749
Ho 0.861 0.743 0.251
Ho 0.861 0.757 0.751
Tm 0.000 0.000 0.000
Tm 0.000 0.500 0.500
Tm 0.254 0.557 0.024
Tm 0.254 0.943 0.524
Tm 0.746 0.057 0.476
Tm 0.746 0.443 0.976
Sc 0.449 0.646 0.526
Sc 0.449 0.854 0.026
Sc 0.551 0.146 0.974
Sc 0.551 0.354 0.474

***

BaNaSrGa | PBE | relaxed

Computed properties:
total magnetic moment: 0.00 μB/atom
total energy: -2.20 eV/atom
DFT formation energy: -4.79 kcal/mol of atoms
density: 3.33 g/cm³
space group: P4mm, No. 99

Cell: 4.054 4.054 9.638 Å, 90.00 90.00 90.00°
Fractional coordinates of all 4 atoms:
Ba 0.000 0.000 0.000
Na 0.500 0.500 0.317
Sr 0.000 0.000 0.608
Ga 0.500 0.500 0.789

***

DyThRh | PBE | relaxed

Computed properties:
total magnetic moment: 0.00 μB/atom
total energy: -6.90 eV/atom
DFT formation energy: -10.30 kcal/mol of atoms
density: 9.94 g/cm³
space group: F-43m, No. 216

Cell: 4.899 4.899 4.899 Å, 60.00 60.00 60.00°
Fractional coordinates of all 3 atoms:
Dy 0.000 0.000 0.000
Th 0.500 0.500 0.500
Rh 0.250 0.250 0.250

***

SrRu2Se | PBE | relaxed

Computed properties:
total magnetic moment: 0.00 μB/atom
total energy: -5.81 eV/atom
formation energy (no corrections): 115 meV per atom
density: 6.29 g/cm³
space group: P2/m, No. 10

Cell: 5.024 3.900 5.060 Å, 90.00 101.05 90.00°
Fractional coordinates of all 4 atoms:
Sr 0.000 0.000 0.000
Ru 0.238 0.500 0.567
Ru 0.762 0.500 0.433
Se 0.500 0.000 0.500

***

TbSc2Hg2 | PBE | relaxed

Computed properties:
total magnetic moment: 0.00 μB/atom
total energy: -3.93 eV/atom
DFT formation energy: -8.01 kcal/mol of atoms
density: 8.96 g/cm³
space group: P2_1/m, No. 11

Cell: 3.606 5.089 13.257 Å, 90.00 97.84 90.00°
Fractional coordinates of all 10 atoms:
Tb 0.147 0.250 0.294
Tb 0.853 0.750 0.706
Sc 0.049 0.750 0.098
Sc 0.238 0.750 0.477
Sc 0.762 0.250 0.523
Sc 0.951 0.250 0.902
Hg 0.353 0.250 0.705
Hg 0.457 0.750 0.914
Hg 0.543 0.250 0.086
Hg 0.647 0.750 0.295

***

CaSi2Br | PBE | relaxed

Computed properties:
total magnetic moment: 0.00 μB/atom
total energy: -3.17 eV/atom
formation energy (no corrections): 463 meV per atom
density: 3.16 g/cm³
space group: R-3m, No. 166

Cell: 9.002 9.002 9.002 Å, 22.36 22.36 22.36°
Fractional coordinates of all 4 atoms:
Ca 0.000 0.000 0.000
Si 0.245 0.245 0.245
Si 0.755 0.755 0.755
Br 0.500 0.500 0.500

***

YCoAu2 | PBE | relaxed

Computed properties:
total magnetic moment: 0.38 μB/atom
total energy: -5.30 eV/atom
DFT formation energy: -6.28 kcal/mol of atoms
density: 11.86 g/cm³
space group: P4/mmm, No. 123

Cell: 3.526 3.526 6.104 Å, 90.00 90.00 90.00°
Fractional coordinates of all 4 atoms:
Y 0.000 0.000 0.000
Co 0.000 0.000 0.500
Au 0.500 0.500 0.278
Au 0.500 0.500 0.722

***

Ni2AgPC | PBE | relaxed

Computed properties:
total magnetic moment: 0.00 μB/atom
total energy: -5.26 eV/atom
DFT formation energy: 12.67 kcal/mol of atoms
density: 7.00 g/cm³
space group: P4/mmm, No. 123

Cell: 3.790 3.790 4.431 Å, 90.00 90.00 90.00°
Fractional coordinates of all 5 atoms:
Ni 0.000 0.500 0.000
Ni 0.500 0.000 0.000
Ag 0.000 0.000 0.500
P 0.500 0.500 0.500
C 0.000 0.000 0.000

***

Ho2TmTl2Cd2 | PBE | relaxed

Computed properties:
total magnetic moment: 0.00 μB/atom
total energy: -2.98 eV/atom
DFT formation energy: -2.23 kcal/mol of atoms
density: 10.08 g/cm³
space group: R-3m, No. 166

Cell: 9.062 9.062 9.062 Å, 32.09 32.09 32.09°
Fractional coordinates of all 7 atoms:
Ho 0.133 0.133 0.133
Ho 0.867 0.867 0.867
Tm 0.000 0.000 0.000
Tl 0.271 0.271 0.271
Tl 0.729 0.729 0.729
Cd 0.429 0.429 0.429
Cd 0.571 0.571 0.571

***

SmYSO2 | PBE | relaxed

Computed properties:
total magnetic moment: 0.00 μB/atom
total energy: -8.05 eV/atom
formation energy (no corrections): -3008 meV per atom
density: 5.66 g/cm³
space group: I4mm, No. 107

Cell: 6.640 6.640 6.640 Å, 146.47 146.47 48.15°
Fractional coordinates of all 5 atoms:
Sm 0.000 0.000 0.000
Y 0.695 0.695 0.000
S 0.350 0.350 0.000
O 0.102 0.602 0.500
O 0.602 0.102 0.500